PuZnCdPb after structural relaxation, computed with PBE-GGA.

Unit cell a=5.1693 b=5.1693 c=5.1693 alpha=60.00 beta=60.00 gamma=60.00
Fractional coordinates of all 4 atoms:
1 Pb 0.5000 0.5000 0.5000
2 Zn 0.0000 0.0000 0.0000
3 Cd 0.7500 0.7500 0.7500
4 Pu 0.2500 0.2500 0.2500

Properties
Magnetic moment in μB/f.u.: 5.87
Calculated density in Mg/m³: 10.69
Calculated formation energy in kJ/mol of formula units: -2.0
Space-group type: F-43m (216)


AgOsW2 after structural relaxation, computed with PBE-GGA.

Unit cell a=4.8901 b=4.8901 c=2.8110 alpha=89.97 beta=89.97 gamma=110.67
Fractional coordinates of all 4 atoms:
1 Os 0.0000 0.5000 0.5000
2 Ag 0.5000 0.0000 0.5000
3 W 0.0000 0.0000 0.0000
4 W 0.5000 0.5000 0.0000

Properties
Magnetic moment in μB/f.u.: 0.00
Calculated density in Mg/m³: 17.58
Calculated formation energy in kJ/mol of formula units: 174.0
Space-group type: Cmmm (65)


ZrPtAu2 after structural relaxation, computed with PBE-GGA.

Unit cell a=7.6502 b=7.6502 c=6.0605 alpha=50.87 beta=50.87 gamma=90.00
Fractional coordinates of all 8 atoms:
1 Au 0.6331 0.1250 0.2500
2 Au 0.1169 0.6250 0.2500
3 Au 0.3750 0.3669 0.7500
4 Au 0.8750 0.8831 0.7500
5 Zr 0.5000 0.5000 0.0000
6 Zr 0.2500 0.7500 0.5000
7 Pt 0.0000 0.0000 0.0000
8 Pt 0.7500 0.2500 0.5000

Properties
Magnetic moment in μB/f.u.: 0.00
Calculated density in Mg/m³: 14.13
Calculated formation energy in kJ/mol of formula units: -53.5
Space-group type: I-42d (122)